Run one
# Pm2PrIn | Alexandria | PBE-GGA | optimized geometry
data_Pm2PrIn
_chemical_formula_sum 'Pm8 Pr4 In4'
_cell_length_a 7.923
_cell_length_b 7.923
_cell_length_c 7.923
_cell_angle_alpha 90.00
_cell_angle_beta 90.00
_cell_angle_gamma 90.00
_symmetry_space_group_name_H-M 'F m -3 m'
_symmetry_Int_Tables_number 225
_symmetry_space_group_name_Hall '-F 4 2 3'
loop_
_atom_site_label
_atom_site_type_symbol
_atom_site_fract_x
_atom_site_fract_y
_atom_site_fract_z
_atom_site_occupancy
Pm1 Pm 0.250 0.250 0.250 1
Pr1 Pr 0.000 0.000 0.000 1
In1 In 0.000 0.000 0.500 1
# Total moment   1.3 μB/f.u.
# Calculated density   7.3 g/cm3

Run two
# Pm2PrIn | Alexandria | PBE-GGA | optimized geometry
data_Pm2PrIn
_chemical_formula_sum 'Pm2 Pr1 In1'
_cell_length_a 3.673
_cell_length_b 3.673
_cell_length_c 9.490
_cell_angle_alpha 90.00
_cell_angle_beta 90.00
_cell_angle_gamma 90.00
_symmetry_space_group_name_H-M 'P 4/m m m'
_symmetry_Int_Tables_number 123
_symmetry_space_group_name_Hall '-P 4 2'
loop_
_atom_site_label
_atom_site_type_symbol
_atom_site_fract_x
_atom_site_fract_y
_atom_site_fract_z
_atom_site_occupancy
Pm1 Pm 0.000 0.000 0.222 1
Pr1 Pr 0.500 0.500 0.500 1
In1 In 0.500 0.500 0.000 1
# Total moment   0.0 μB/f.u.
# Calculated density   7.1 g/cm3

Run three
# Pm2PrIn | Alexandria | PBE-GGA | optimized geometry
data_Pm2PrIn
_chemical_formula_sum 'Pm2 Pr1 In1'
_cell_length_a 4.992
_cell_length_b 4.992
_cell_length_c 4.953
_cell_angle_alpha 90.00
_cell_angle_beta 90.00
_cell_angle_gamma 90.00
_symmetry_space_group_name_H-M 'P 4/m m m'
_symmetry_Int_Tables_number 123
_symmetry_space_group_name_Hall '-P 4 2'
loop_
_atom_site_label
_atom_site_type_symbol
_atom_site_fract_x
_atom_site_fract_y
_atom_site_fract_z
_atom_site_occupancy
Pm1 Pm 0.000 0.500 0.000 1
Pr1 Pr 0.000 0.000 0.500 1
In1 In 0.500 0.500 0.500 1
# Total moment   0.0 μB/f.u.
# Calculated density   7.3 g/cm3

In terms of stability, run three leads; the second structure lies 42 meV/atom higher.

Run one
# Pm4Pr7In | Alexandria | PBE-GGA | optimized geometry
data_Pm4Pr7In
_chemical_formula_sum 'Pm8 Pr14 In2'
_cell_length_a 16.862
_cell_length_b 6.113
_cell_length_c 9.459
_cell_angle_alpha 90.00
_cell_angle_beta 117.43
_cell_angle_gamma 90.00
_symmetry_space_group_name_H-M 'C 1 2/m 1'
_symmetry_Int_Tables_number 12
_symmetry_space_group_name_Hall '-C 2y'
loop_
_atom_site_label
_atom_site_type_symbol
_atom_site_fract_x
_atom_site_fract_y
_atom_site_fract_z
_atom_site_occupancy
Pm1 Pm 0.079 0.000 0.193 1
Pm2 Pm 0.180 0.000 0.900 1
Pr1 Pr 0.000 0.000 0.500 1
Pr2 Pr 0.073 0.500 0.910 1
Pr3 Pr 0.204 0.500 0.712 1
Pr4 Pr 0.212 0.500 0.369 1
In1 In 0.000 0.500 0.500 1
# Total moment   0.0 μB/f.u.
# Calculated density   6.5 g/cm3

Run two
# Pm4Pr7In | Alexandria | PBE-GGA | optimized geometry
data_Pm4Pr7In
_chemical_formula_sum 'Pm4 Pr7 In1'
_cell_length_a 6.230
_cell_length_b 6.955
_cell_length_c 10.219
_cell_angle_alpha 109.87
_cell_angle_beta 91.62
_cell_angle_gamma 90.10
_symmetry_space_group_name_H-M 'P -1'
_symmetry_Int_Tables_number 2
_symmetry_space_group_name_Hall '-P 1'
loop_
_atom_site_label
_atom_site_type_symbol
_atom_site_fract_x
_atom_site_fract_y
_atom_site_fract_z
_atom_site_occupancy
Pm1 Pm 0.234 0.367 0.262 1
Pm2 Pm 0.235 0.894 0.261 1
Pr1 Pr 0.251 0.323 0.646 1
Pr2 Pr 0.251 0.956 0.913 1
Pr3 Pr 0.254 0.783 0.567 1
Pr4 Pr 0.500 0.500 0.000 1
In1 In 0.000 0.500 0.000 1
# Total moment   0.0 μB/f.u.
# Calculated density   6.7 g/cm3

In terms of stability, run two leads; the second structure lies 125 meV/atom higher.

Run one
# Pm2Pr8In | Alexandria | PBE-GGA | optimized geometry
data_Pm2Pr8In
_chemical_formula_sum 'Pm4 Pr16 In2'
_cell_length_a 5.688
_cell_length_b 7.798
_cell_length_c 17.704
_cell_angle_alpha 90.00
_cell_angle_beta 90.00
_cell_angle_gamma 90.00
_symmetry_space_group_name_H-M 'I m m m'
_symmetry_Int_Tables_number 71
_symmetry_space_group_name_Hall '-I 2 2'
loop_
_atom_site_label
_atom_site_type_symbol
_atom_site_fract_x
_atom_site_fract_y
_atom_site_fract_z
_atom_site_occupancy
Pm1 Pm 0.000 0.000 0.193 1
Pr1 Pr 0.000 0.242 0.000 1
Pr2 Pr 0.000 0.275 0.364 1
Pr3 Pr 0.000 0.500 0.176 1
In1 In 0.000 0.000 0.500 1
# Total moment   0.0 μB/f.u.
# Calculated density   6.5 g/cm3

Run two
# Pm2Pr8In | Alexandria | PBE-GGA | optimized geometry
data_Pm2Pr8In
_chemical_formula_sum 'Pm4 Pr16 In2'
_cell_length_a 18.654
_cell_length_b 5.122
_cell_length_c 8.209
_cell_angle_alpha 90.00
_cell_angle_beta 105.45
_cell_angle_gamma 90.00
_symmetry_space_group_name_H-M 'C 1 2/m 1'
_symmetry_Int_Tables_number 12
_symmetry_space_group_name_Hall '-C 2y'
loop_
_atom_site_label
_atom_site_type_symbol
_atom_site_fract_x
_atom_site_fract_y
_atom_site_fract_z
_atom_site_occupancy
Pm1 Pm 0.224 0.000 0.134 1
Pr1 Pr 0.044 0.000 0.230 1
Pr2 Pr 0.090 0.500 0.942 1
Pr3 Pr 0.137 0.000 0.678 1
Pr4 Pr 0.177 0.500 0.408 1
In1 In 0.000 0.500 0.500 1
# Total moment   0.0 μB/f.u.
# Calculated density   6.7 g/cm3

In terms of stability, run two leads; the second structure lies 68 meV/atom higher.

Run one
# Pm4PrIn2 | Alexandria | PBE-GGA | optimized geometry
data_Pm4PrIn2
_chemical_formula_sum 'Pm8 Pr2 In4'
_cell_length_a 6.010
_cell_length_b 6.010
_cell_length_c 12.692
_cell_angle_alpha 90.00
_cell_angle_beta 90.00
_cell_angle_gamma 90.00
_symmetry_space_group_name_H-M 'I 4/m m m'
_symmetry_Int_Tables_number 139
_symmetry_space_group_name_Hall '-I 4 2'
loop_
_atom_site_label
_atom_site_type_symbol
_atom_site_fract_x
_atom_site_fract_y
_atom_site_fract_z
_atom_site_occupancy
Pm1 Pm 0.000 0.500 0.000 1
Pm2 Pm 0.000 0.500 0.250 1
Pr1 Pr 0.000 0.000 0.000 1
In1 In 0.000 0.000 0.374 1
# Total moment   0.0 μB/f.u.
# Calculated density   6.9 g/cm3

Run two
# Pm4PrIn2 | Alexandria | PBE-GGA | optimized geometry
data_Pm4PrIn2
_chemical_formula_sum 'Pm16 Pr4 In8'
_cell_length_a 12.029
_cell_length_b 6.978
_cell_length_c 11.079
_cell_angle_alpha 90.00
_cell_angle_beta 90.00
_cell_angle_gamma 90.00
_symmetry_space_group_name_H-M 'C m c e'
_symmetry_Int_Tables_number 64
_symmetry_space_group_name_Hall '-C 2ac 2'
loop_
_atom_site_label
_atom_site_type_symbol
_atom_site_fract_x
_atom_site_fract_y
_atom_site_fract_z
_atom_site_occupancy
Pm1 Pm 0.000 0.002 0.168 1
Pm2 Pm 0.250 0.250 0.250 1
Pr1 Pr 0.000 0.000 0.500 1
In1 In 0.224 0.000 0.000 1
# Total moment   0.0 μB/f.u.
# Calculated density   6.8 g/cm3

In terms of stability, run two leads; the second structure lies 192 meV/atom higher.